This record from Alexandria via LeMat-Bulk describes crystalline Cs3SmSb2O8 at its relaxed geometry. The functional is GGA-PBE.

Cell lengths 6.4125, 6.4125, 8.6195 Å; angles 90.00, 90.00, 120.00 degrees
Atoms (fractional coordinates):
Sm: 0.0000 0.0000 0.5000
Sb: 0.6667 0.3333 0.7359
Sb: 0.3333 0.6667 0.2641
O: 0.6566 0.8283 0.3431
O: 0.1717 0.8283 0.3431
O: 0.3434 0.1717 0.6569
O: 0.1717 0.3434 0.3431
O: 0.6667 0.3333 0.9533
O: 0.3333 0.6667 0.0467
O: 0.8283 0.1717 0.6569
O: 0.8283 0.6566 0.6569
Cs: 0.3333 0.6667 0.7189
Cs: 0.6667 0.3333 0.2811
Cs: 0.0000 0.0000 0.0000

* theoretical density: 5.0 g cm⁻³
* space-group type: P-3m1 (164)
* ΔE_f (raw): -26.11 eV per formula unit